Entry 1:
The following is a DFT calculation (SCAN) of a crystal of AgPbSe relaxed with PBEsol.

Raw formation energy in meV per atom: -125
Uncorrected energy in eV per atom: -42.53
DOS at the Fermi energy in states/eV/cell: 1.21
Space-group type: P3m1 (156)

Unit cell a=4.122 b=4.122 c=4.852 alpha=90.00 beta=90.00 gamma=120.00
Sites, in units of the cell vectors:
Ag  0.000  0.000  0.000
Pb  0.333  0.667  0.645
Se  0.667  0.333  0.240

=====

Entry 2:
The following is a DFT calculation (SCAN) of a crystal of Be4NbMo relaxed with PBEsol.

Uncorrected energy in eV per atom: -14.50
DOS at the Fermi energy in states/eV/cell: 4.97
Space-group type: P-3m1 (164)
E_form in meV/atom: -266

Unit cell a=4.505 b=4.505 c=7.368 alpha=90.00 beta=90.00 gamma=120.00
Sites, in units of the cell vectors:
Be  0.000  0.000  0.000
Be  0.000  0.000  0.500
Be  0.171  0.341  0.244
Be  0.171  0.829  0.244
Be  0.341  0.171  0.756
Be  0.659  0.829  0.244
Be  0.829  0.171  0.756
Be  0.829  0.659  0.756
Nb  0.333  0.667  0.569
Nb  0.667  0.333  0.431
Mo  0.333  0.667  0.940
Mo  0.667  0.333  0.060

=====

Entry 3:
The following is a DFT calculation (SCAN) of a crystal of BaCrAs relaxed with PBEsol.

Uncorrected energy in eV per atom: -26.36
DOS at the Fermi energy in states/eV/cell: 0.02
Space-group type: F-43m (216)
E_form in meV/atom: -314

Unit cell a=4.878 b=4.878 c=4.878 alpha=60.00 beta=60.00 gamma=60.00
Sites, in units of the cell vectors:
Ba  0.000  0.000  0.000
Cr  0.250  0.250  0.250
As  0.500  0.500  0.500

=====

Entry 4:
The following is a DFT calculation (SCAN) of a crystal of TaBe2Al relaxed with PBEsol.

Uncorrected energy in eV per atom: -20.94
DOS at the Fermi energy in states/eV/cell: 0.82
Space-group type: P4/mmm (123)
E_form in meV/atom: -175

Unit cell a=3.733 b=3.733 c=3.527 alpha=90.00 beta=90.00 gamma=90.00
Sites, in units of the cell vectors:
Ta  0.000  0.000  0.000
Be  0.000  0.500  0.500
Be  0.500  0.000  0.500
Al  0.500  0.500  0.000

=====

Entry 5:
The following is a DFT calculation (SCAN) of a crystal of TaTc2P relaxed with PBEsol.

Uncorrected energy in eV per atom: -36.77
DOS at the Fermi energy in states/eV/cell: 4.10
Space-group type: R3m (160)
E_form in meV/atom: 7

Unit cell a=8.508 b=8.508 c=8.508 alpha=19.14 beta=19.14 gamma=19.14
Sites, in units of the cell vectors:
Ta  0.000  0.000  0.000
Tc  0.240  0.240  0.240
Tc  0.490  0.490  0.490
P  0.751  0.751  0.751

=====

Entry 6:
The following is a DFT calculation (SCAN) of a crystal of Nd2SiSeO4 relaxed with PBEsol.

Raw formation energy in meV per atom: -3303
Uncorrected energy in eV per atom: -21.08
DOS at the Fermi energy in states/eV/cell: 0.00
Space-group type: Pbcm (57)

Unit cell a=6.167 b=7.141 c=10.963 alpha=90.00 beta=90.00 gamma=90.00
Sites, in units of the cell vectors:
Nd  0.107  0.250  0.000
Nd  0.107  0.250  0.500
Nd  0.371  0.534  0.250
Nd  0.371  0.966  0.750
Nd  0.629  0.034  0.250
Nd  0.629  0.466  0.750
Nd  0.893  0.750  0.000
Nd  0.893  0.750  0.500
Si  0.388  0.750  0.000
Si  0.388  0.750  0.500
Si  0.612  0.250  0.000
Si  0.612  0.250  0.500
Se  0.081  0.609  0.750
Se  0.081  0.891  0.250
Se  0.919  0.109  0.750
Se  0.919  0.391  0.250
O  0.229  0.573  0.033
O  0.229  0.573  0.467
O  0.229  0.927  0.533
O  0.229  0.927  0.967
O  0.448  0.235  0.619
O  0.448  0.235  0.881
O  0.448  0.265  0.119
O  0.448  0.265  0.381
O  0.552  0.735  0.619
O  0.552  0.735  0.881
O  0.552  0.765  0.119
O  0.552  0.765  0.381
O  0.771  0.073  0.033
O  0.771  0.073  0.467
O  0.771  0.427  0.533
O  0.771  0.427  0.967

=====

Entry 7:
The following is a DFT calculation (SCAN) of a crystal of ZrTaW4 relaxed with PBEsol.

Uncorrected energy in eV per atom: -62.72
DOS at the Fermi energy in states/eV/cell: 2.48
Space-group type: F-43m (216)
E_form in meV/atom: -46

Unit cell a=5.300 b=5.300 c=5.300 alpha=60.00 beta=60.00 gamma=60.00
Sites, in units of the cell vectors:
Zr  0.000  0.000  0.000
Ta  0.250  0.250  0.250
W  0.125  0.625  0.625
W  0.625  0.125  0.625
W  0.625  0.625  0.125
W  0.625  0.625  0.625

=====

Entry 8:
The following is a DFT calculation (SCAN) of a crystal of MnMo2Pt relaxed with PBEsol.

Uncorrected energy in eV per atom: -39.66
DOS at the Fermi energy in states/eV/cell: 4.76
Space-group type: I-4m2 (119)
E_form in meV/atom: -107

Unit cell a=4.691 b=4.691 c=4.691 alpha=131.77 beta=131.77 gamma=70.60
Sites, in units of the cell vectors:
Mn  0.000  0.000  0.000
Mo  0.500  0.500  0.000
Mo  0.750  0.250  0.500
Pt  0.250  0.750  0.500

=====

Entry 9:
The following is a DFT calculation (SCAN) of a crystal of NaCo2Pb2 relaxed with PBEsol.

Uncorrected energy in eV per atom: -37.67
DOS at the Fermi energy in states/eV/cell: 2.96
Space-group type: I4/mmm (139)
E_form in meV/atom: 405

Unit cell a=5.468 b=5.468 c=5.468 alpha=127.27 beta=127.27 gamma=77.82
Sites, in units of the cell vectors:
Na  0.000  0.000  0.000
Co  0.375  0.375  0.000
Co  0.625  0.625  0.000
Pb  0.250  0.750  0.500
Pb  0.750  0.250  0.500

=====

Entry 10:
The following is a DFT calculation (SCAN) of a crystal of YCuOs relaxed with PBEsol.

Uncorrected energy in eV per atom: -37.62
DOS at the Fermi energy in states/eV/cell: 3.54
Space-group type: P3m1 (156)
E_form in meV/atom: 689

Unit cell a=2.830 b=2.830 c=7.105 alpha=90.00 beta=90.00 gamma=120.00
Sites, in units of the cell vectors:
Y  0.000  0.000  0.000
Cu  0.333  0.667  0.644
Os  0.667  0.333  0.356

=====

Entry 11:
The following is a DFT calculation (SCAN) of a crystal of SiAu relaxed with PBEsol.

Raw formation energy in meV per atom: -133
Uncorrected energy in eV per atom: -39.72
DOS at the Fermi energy in states/eV/cell: 0.40
Space-group type: C2/m (12)

Unit cell a=4.198 b=4.198 c=4.824 alpha=108.91 beta=108.91 gamma=68.04
Sites, in units of the cell vectors:
Si  0.184  0.184  0.116
Si  0.816  0.816  0.884
Au  0.269  0.269  0.670
Au  0.731  0.731  0.330

=====

Entry 12:
The following is a DFT calculation (SCAN) of a crystal of Y2SbPtPb relaxed with PBEsol.

Raw formation energy in meV per atom: 665
Uncorrected energy in eV per atom: -47.12
DOS at the Fermi energy in states/eV/cell: 4.13
Space-group type: P4/mmm (123)

Unit cell a=5.614 b=5.614 c=5.405 alpha=90.00 beta=90.00 gamma=90.00
Sites, in units of the cell vectors:
Y  0.000  0.500  0.000
Y  0.500  0.000  0.000
Sb  0.000  0.000  0.500
Pt  0.500  0.500  0.500
Pb  0.000  0.000  0.000